(1)
VASP calculation (PBE) on a relaxed structure of PrZrSb2.

Calculated values
As for the magnetization: 0.00 μB/f.u. As for the symmetry: R-3m (166). The value obtained for the total energy is -6.271 eV per atom. For the density of states at the Fermi level, the calculation gives 2.2 states/eV/f.u. As for the energy relative to the elements, uncorrected: -0.8780 eV per atom. The offset from the most stable computed form is 0.000 eV per atom.

Cell: 7.573 7.573 7.573 Å, 33.11 33.11 33.11°
Atoms (fractional coordinates):
Pr  0.000  0.000  0.000
Zr  0.500  0.500  0.500
Sb  0.242  0.242  0.242
Sb  0.758  0.758  0.758

---

(2)
VASP calculation (PBE) on a relaxed structure of Cs3Pa2AgO9.

Calculated values
As for the magnetization: 0.00 μB/f.u. As for the symmetry: P-3m1 (164). The value obtained for the total energy is -6.668 eV per atom. For the density of states at the Fermi level, the calculation gives 3.5 states/eV/f.u. As for the energy relative to the elements, uncorrected: -2.0662 eV per atom.

Cell: 6.204 6.204 7.592 Å, 90.00 90.00 120.00°
Atoms (fractional coordinates):
Cs  0.000  0.000  0.000
Cs  0.333  0.667  0.662
Cs  0.667  0.333  0.338
Pa  0.333  0.667  0.175
Pa  0.667  0.333  0.825
Ag  0.000  0.000  0.500
O  0.000  0.500  0.000
O  0.169  0.338  0.328
O  0.169  0.831  0.328
O  0.338  0.169  0.672
O  0.500  0.000  0.000
O  0.500  0.500  0.000
O  0.662  0.831  0.328
O  0.831  0.169  0.672
O  0.831  0.662  0.672

---

(3)
VASP calculation (PBE) on a relaxed structure of Ac2AsPb.

Calculated values
As for the magnetization: 0.00 μB/f.u. As for the symmetry: R-3m (166). The value obtained for the total energy is -5.089 eV per atom. For the density of states at the Fermi level, the calculation gives 1.6 states/eV/f.u. The offset from the most stable computed form is 0.042 eV per atom. The value obtained for the formation energy is -0.9457 eV/atom.

Cell: 8.737 8.737 8.737 Å, 29.89 29.89 29.89°
Atoms (fractional coordinates):
Ac  0.240  0.240  0.240
Ac  0.760  0.760  0.760
As  0.500  0.500  0.500
Pb  0.000  0.000  0.000

---

(4)
VASP calculation (PBE) on a relaxed structure of MnNbAlRe.

Calculated values
As for the magnetization: 1.95 μB/f.u. As for the symmetry: F-43m (216). The value obtained for the total energy is -9.059 eV per atom. For the density of states at the Fermi level, the calculation gives 2.6 states/eV/f.u. The value obtained for the formation energy is -0.2013 eV/atom.

Cell: 4.380 4.380 4.380 Å, 60.00 60.00 60.00°
Atoms (fractional coordinates):
Mn  0.000  0.000  0.000
Nb  0.750  0.750  0.750
Al  0.250  0.250  0.250
Re  0.500  0.500  0.500

---

(5)
VASP calculation (PBE) on a relaxed structure of Be2FeAs2.

Calculated values
As for the magnetization: 3.29 μB/f.u. As for the symmetry: I4/mmm (139). The value obtained for the total energy is -4.391 eV per atom. For the density of states at the Fermi level, the calculation gives 4.3 states/eV/f.u. The value obtained for the formation energy is 0.6515 eV/atom.

Cell: 5.679 5.679 5.679 Å, 140.06 140.06 57.77°
Atoms (fractional coordinates):
Be  0.103  0.103  0.000
Be  0.897  0.897  0.000
Fe  0.500  0.500  0.000
As  0.250  0.750  0.500
As  0.750  0.250  0.500

---

(6)
VASP calculation (PBE) on a relaxed structure of IrRhAu.

Calculated values
As for the magnetization: 0.00 μB/f.u. As for the symmetry: P3m1 (156). The value obtained for the total energy is -6.332 eV per atom. For the density of states at the Fermi level, the calculation gives 3.0 states/eV/f.u. The offset from the most stable computed form is 0.000 eV per atom. The value obtained for the formation energy is 0.1648 eV/atom.

Cell: 2.793 2.793 6.900 Å, 90.00 90.00 120.00°
Atoms (fractional coordinates):
Ir  0.000  0.000  0.000
Rh  0.333  0.667  0.305
Au  0.667  0.333  0.651